Below is crystalline Ca3BeHg at its relaxed geometry, with properties calculated at the PBE level.

abc: 5.524 5.524 5.524
angles: 90.00 90.00 90.00
Sites, in units of the cell vectors:
Ca 0.000 0.000 0.500
Ca 0.000 0.500 0.000
Ca 0.500 0.000 0.000
Be 0.000 0.000 0.000
Hg 0.500 0.500 0.500

Formation enthalpy at 0 K ... 165 meV per atom
SG ... Pm-3m
DFT total energy ... -9.2 eV/cell